# 1
A plane-wave DFT calculation with PBE was carried out for a relaxed structure of Ba3PmSn2.

The calculated formation energy is -3.15 eV per formula unit. The total magnetization comes out at 0.161 μB/atom. The density of states at the Fermi level is 0.707 states/eV/atom.

The structure belongs to space group Ibam (No. 72); the cell edges are 7.8025, 17.6232 and 7.4408 Å and the angles 90.00°, 90.00° and 90.00°. The inequivalent atoms are Ba at (0.0000, 0.0000, 0.2500), Ba at (0.2311, 0.3177, 0.0000), Pm at (0.0000, 0.5000, 0.2500) and Sn at (0.2209, 0.3815, 0.5000).

---

# 2
A plane-wave DFT calculation with PBE was carried out for a relaxed structure of Ba3Pm2Sn4.

The calculated formation energy is -5.30 eV per formula unit. The total magnetization comes out at 0.000 μB/atom. The density of states at the Fermi level is 0.381 states/eV/atom.

The structure belongs to space group C2/m (No. 12); the cell edges are 14.4033, 4.9521 and 10.4837 Å and the angles 90.00°, 110.51° and 90.00°. The inequivalent atoms are Ba at (0.0000, 0.0000, 0.0000), Ba at (0.1061, 0.5000, 0.6946), Pm at (0.1937, 0.5000, 0.3506), Sn at (0.0889, 0.0000, 0.4129) and Sn at (0.2239, 0.5000, 0.0646).

---

# 3
A plane-wave DFT calculation with PBE was carried out for a relaxed structure of BaPm2Sn3.

The calculated formation energy is -3.58 eV per formula unit. The total magnetization comes out at 0.000 μB/atom. The density of states at the Fermi level is 0.625 states/eV/atom.

The structure belongs to space group Cmcm (No. 63); the cell edges are 12.6884, 8.8824 and 7.2972 Å and the angles 90.00°, 90.00° and 90.00°. The inequivalent atoms are Ba at (0.0000, 0.1544, 0.2500), Pm at (0.2095, 0.5000, 0.0000), Sn at (0.0000, 0.4643, 0.7500) and Sn at (0.1440, 0.2004, 0.7500).

---

# 4
A plane-wave DFT calculation with PBE was carried out for a relaxed structure of BaPm6Sn4.

The calculated formation energy is -4.16 eV per formula unit. The total magnetization comes out at 0.037 μB/atom. The density of states at the Fermi level is 1.097 states/eV/atom.

The structure belongs to space group I-42m (No. 121); the cell edges are 8.3683, 8.3683 and 11.7002 Å and the angles 90.00°, 90.00° and 90.00°. The inequivalent atoms are Ba at (0.0000, 0.0000, 0.0000), Pm at (0.0000, 0.5000, 0.0000), Pm at (0.1534, 0.1534, 0.6685) and Sn at (0.2139, 0.2139, 0.4012).